1.
! CaMgFe2 (PBE-GGA, optimized geometry); values from VASP
&SYSTEM
  ibrav = 0, nat = 8, ntyp = 3
/
ATOMIC_SPECIES
Ca 40.08 Ca.upf
Mg 24.30 Mg.upf
Fe 55.84 Fe.upf
CELL_PARAMETERS angstrom
-2.256 2.256 9.352
2.256 -2.256 9.352
2.256 2.256 -9.352
ATOMIC_POSITIONS angstrom
Ca 0.000 0.000 0.000
Ca 0.000 2.256 4.676
Mg 2.256 0.000 4.676
Mg 0.000 0.000 9.352
Fe 1.128 -0.093 7.014
Fe 2.164 1.128 2.338
Fe 1.128 2.349 -2.338
Fe 0.093 1.128 11.690
! ΔH_f (0 K)   717.1 meV/atom
! Total energy   -35.31 eV/cell
! Space-group type   I-42d

***

2.
! Sr5Os4 (PBE-GGA, optimized geometry); values from VASP
&SYSTEM
  ibrav = 0, nat = 18, ntyp = 2
/
ATOMIC_SPECIES
Sr 87.62 Sr.upf
Os 190.23 Os.upf
CELL_PARAMETERS angstrom
9.387 0.000 0.000
-4.694 8.130 0.000
0.000 0.000 7.036
ATOMIC_POSITIONS angstrom
Sr -1.641 2.842 1.759
Sr -3.053 5.288 5.277
Sr 0.000 5.420 0.000
Sr 0.000 5.420 3.518
Sr 3.281 0.000 1.759
Sr 1.641 2.842 5.277
Sr 6.106 0.000 5.277
Sr 3.053 5.288 1.759
Sr 4.694 2.710 0.000
Sr 4.694 2.710 3.518
Os 0.000 0.000 0.000
Os 0.000 0.000 3.518
Os -0.914 1.584 5.277
Os -3.779 6.546 1.759
Os 1.829 0.000 5.277
Os 0.914 1.584 1.759
Os 7.558 0.000 1.759
Os 3.779 6.546 5.277
! ΔH_f (0 K)   1028.1 meV/atom
! Total energy   -88.15 eV/cell
! Space-group type   P6_3/mcm

***

3.
! SmZrIrPd (PBE-GGA, optimized geometry); values from VASP
&SYSTEM
  ibrav = 0, nat = 4, ntyp = 4
/
ATOMIC_SPECIES
Sm 150.36 Sm.upf
Zr 91.22 Zr.upf
Ir 192.22 Ir.upf
Pd 106.42 Pd.upf
CELL_PARAMETERS angstrom
0.000 3.428 3.428
3.428 0.000 3.428
3.428 3.428 0.000
ATOMIC_POSITIONS angstrom
Sm 0.000 0.000 0.000
Zr 3.428 3.428 3.428
Ir 1.714 1.714 1.714
Pd 5.142 5.142 5.142
! ΔH_f (0 K)   -656.1 meV/atom
! Total energy   -29.95 eV/cell
! Space-group type   F-43m

***

4.
! Ti2GaHPd (PBE-GGA, optimized geometry); values from VASP
&SYSTEM
  ibrav = 0, nat = 5, ntyp = 4
/
ATOMIC_SPECIES
Ti 47.87 Ti.upf
Ga 69.72 Ga.upf
H 1.01 H.upf
Pd 106.42 Pd.upf
CELL_PARAMETERS angstrom
4.022 0.000 0.000
0.000 4.022 0.000
0.000 0.000 4.005
ATOMIC_POSITIONS angstrom
Ti 0.000 2.011 0.000
Ti 2.011 0.000 0.000
Ga 0.000 0.000 2.002
H 2.011 2.011 0.000
Pd 2.011 2.011 2.002
! Energy above the lowest structure with this stoichiometry   0.000 eV per atom
! Total energy   -29.78 eV/cell
! Space-group type   P4/mmm

***

5.
! Zr4SiRh (PBE-GGA, optimized geometry); values from VASP
&SYSTEM
  ibrav = 0, nat = 6, ntyp = 3
/
ATOMIC_SPECIES
Zr 91.22 Zr.upf
Si 28.09 Si.upf
Rh 102.91 Rh.upf
CELL_PARAMETERS angstrom
-3.309 3.309 2.693
3.309 -3.309 2.693
3.309 3.309 -2.693
ATOMIC_POSITIONS angstrom
Zr 2.250 -1.059 1.346
Zr 4.368 1.059 1.346
Zr 1.059 2.250 1.346
Zr -1.059 4.368 1.346
Si 0.000 0.000 0.000
Rh 0.000 0.000 2.693
! Energy above the lowest structure with this stoichiometry   0.000 eV per atom
! Energy relative to the elements, uncorrected   -0.65 eV/atom
! Total energy   -50.85 eV/cell
! Space-group type   I422

***

6.
! LiNi2Rh (PBE-GGA, optimized geometry); values from VASP
&SYSTEM
  ibrav = 0, nat = 4, ntyp = 3
/
ATOMIC_SPECIES
Li 6.94 Li.upf
Ni 58.69 Ni.upf
Rh 102.91 Rh.upf
CELL_PARAMETERS angstrom
-1.345 2.133 4.256
1.345 -2.133 4.256
1.345 2.133 -4.256
ATOMIC_POSITIONS angstrom
Li 0.000 0.000 0.000
Ni 1.345 0.000 2.152
Ni 0.000 0.000 4.138
Rh 0.000 2.133 1.988
! ΔH_f (0 K)   13.1 meV/atom
! Total energy   -20.78 eV/cell
! Space-group type   Imm2

***

7.
! Li7MgAl2 (PBE-GGA, optimized geometry); values from VASP
&SYSTEM
  ibrav = 0, nat = 10, ntyp = 3
/
ATOMIC_SPECIES
Li 6.94 Li.upf
Mg 24.30 Mg.upf
Al 26.98 Al.upf
CELL_PARAMETERS angstrom
3.418 -6.923 0.000
3.418 6.923 0.000
0.000 0.000 5.054
ATOMIC_POSITIONS angstrom
Li 0.000 0.000 0.000
Li 2.184 1.543 0.000
Li 3.418 3.113 2.527
Li 2.184 -1.543 0.000
Li 4.651 1.543 0.000
Li 3.418 -3.113 2.527
Li 4.651 -1.543 0.000
Mg 3.418 0.000 2.527
Al 3.418 3.953 0.000
Al 3.418 -3.953 0.000
! ΔH_f (0 K)   242.3 meV/atom
! Energy above the lowest structure with this stoichiometry   0.224 eV per atom
! Total energy   -20.05 eV/cell
! Space-group type   Cmmm

***

8.
! HoEr4Zn5 (PBE-GGA, optimized geometry); values from VASP
&SYSTEM
  ibrav = 0, nat = 10, ntyp = 3
/
ATOMIC_SPECIES
Ho 164.93 Ho.upf
Er 167.26 Er.upf
Zn 65.41 Zn.upf
CELL_PARAMETERS angstrom
3.540 0.000 0.000
0.000 3.540 0.000
0.000 0.000 17.718
ATOMIC_POSITIONS angstrom
Ho 0.000 0.000 0.000
Er 0.000 0.000 3.553
Er 0.000 0.000 7.092
Er 0.000 0.000 10.626
Er 0.000 0.000 14.165
Zn 1.770 1.770 1.788
Zn 1.770 1.770 5.325
Zn 1.770 1.770 8.859
Zn 1.770 1.770 12.393
Zn 1.770 1.770 15.930
! ΔH_f (0 K)   -346.8 meV/atom
! Total energy   -32.67 eV/cell
! Space-group type   P4/mmm